# Tm3Pt2

A relaxed Tm3Pt2 crystal (PBE-GGA, the Alexandria database).

Properties
- E_form (eV/atom) = -1.127
- energy relative to the lowest polymorph listed for this composition (meV per atom) = 0
- mass density (g/cm³) = 13.01

Lattice parameters (Å, degrees): 3.9476 7.6152 7.6152 90.00 90.00 90.00
Positions (direct):
Pt  0.0000  0.1407  0.3593
Tm  0.5000  0.1604  0.6604
Tm  0.5000  0.6604  0.8396
Tm  0.5000  0.3396  0.1604
Pt  0.0000  0.6407  0.1407
Pt  0.0000  0.3593  0.8593
Pt  0.0000  0.8593  0.6407
Tm  0.0000  0.0000  0.0000
Tm  0.5000  0.8396  0.3396
Tm  0.0000  0.5000  0.5000